1.
MgScBrF: optimized geometry, PBE.

a = 3.534 Å, b = 3.534 Å, c = 7.734 Å
α = 90.00°, β = 90.00°, γ = 120.00°
Sites, in units of the cell vectors:
1 Mg 0.000 0.000 0.000
2 Sc 0.667 0.333 0.327
3 Br 0.667 0.333 0.774
4 F 0.000 0.000 0.434

Values from the calculation:
- Crystal system: trigonal
- Calculated volume: 20.91 A^3/atom
- Symmetry: No. 156
- Formation energy without anion corrections: -1.608 eV/atom

2.
MgScBrF: optimized geometry, PBE.

a = 3.797 Å, b = 5.449 Å, c = 5.449 Å
α = 44.76°, β = 90.00°, γ = 90.00°
Sites, in units of the cell vectors:
1 Mg 0.000 0.000 0.000
2 Sc 0.500 0.320 0.320
3 Br 0.500 0.614 0.614
4 F 0.000 0.213 0.213

Values from the calculation:
- Crystal system: orthorhombic
- Calculated volume: 19.85 A^3/atom
- Symmetry: No. 38
- Formation energy without anion corrections: -1.514 eV/atom

3.
MgSe2BrF: optimized geometry, PBE.

a = 5.305 Å, b = 5.305 Å, c = 5.047 Å
α = 90.00°, β = 90.00°, γ = 90.00°
Sites, in units of the cell vectors:
1 Mg 0.000 0.000 0.000
2 Se 0.000 0.500 0.000
3 Se 0.500 0.000 0.000
4 Br 0.000 0.000 0.500
5 F 0.500 0.500 0.500

Values from the calculation:
- Crystal system: tetragonal
- Calculated volume: 28.40 A^3/atom
- Symmetry: No. 123
- Formation energy without anion corrections: -0.060 eV/atom

4.
MgSe2BrF: optimized geometry, PBE.

a = 4.350 Å, b = 4.350 Å, c = 5.969 Å
α = 90.00°, β = 90.00°, γ = 90.00°
Sites, in units of the cell vectors:
1 Mg 0.000 0.000 0.000
2 Se 0.000 0.500 0.500
3 Se 0.500 0.000 0.500
4 Br 0.500 0.500 0.000
5 F 0.500 0.500 0.500

Values from the calculation:
- Crystal system: tetragonal
- Calculated volume: 22.59 A^3/atom
- Symmetry: No. 123
- Formation energy without anion corrections: -0.196 eV/atom

5.
Sr3MgBr2F6: optimized geometry, PBE.

a = 7.283 Å, b = 7.283 Å, c = 5.802 Å
α = 97.63°, β = 97.63°, γ = 59.75°
Sites, in units of the cell vectors:
1 Sr 0.000 0.000 0.000
2 Sr 0.000 0.500 0.500
3 Sr 0.500 0.000 0.500
4 Mg 0.500 0.500 0.500
5 Br 0.221 0.221 0.894
6 Br 0.779 0.779 0.106
7 F 0.194 0.687 0.696
8 F 0.313 0.806 0.304
9 F 0.350 0.350 0.370
10 F 0.650 0.650 0.630
11 F 0.687 0.194 0.696
12 F 0.806 0.313 0.304

Values from the calculation:
- Crystal system: monoclinic
- Calculated volume: 21.90 A^3/atom
- Symmetry: No. 12
- Formation energy without anion corrections: -3.171 eV/atom

6.
MgTiBrF2: optimized geometry, PBE.

a = 4.139 Å, b = 4.139 Å, c = 5.683 Å
α = 90.00°, β = 90.00°, γ = 90.00°
Sites, in units of the cell vectors:
1 Mg 0.000 0.000 0.000
2 Ti 0.500 0.500 0.500
3 Br 0.500 0.500 0.000
4 F 0.000 0.500 0.500
5 F 0.500 0.000 0.500

Values from the calculation:
- Crystal system: tetragonal
- Calculated volume: 19.47 A^3/atom
- Symmetry: No. 123
- Formation energy without anion corrections: -1.733 eV/atom

> Which value of calculated volume does entry 5 give?

21.90 A^3/atom